A plane-wave DFT calculation with PBE was carried out for crystalline AcPuCu10 at its relaxed geometry.

## Properties
V = 15.9 Å³/atom
formation energy = -6.10 kJ per mole of atoms
DOS at the Fermi energy = 1.468 states/eV per atom
final energy = -60.16 eV/cell

a b c (Å): 4.057 5.232 9.014
angles (deg): 90.00 90.00 90.00
Atoms (fractional coordinates):
Ac: 0.000 0.500 0.500
Pu: 0.000 0.000 0.000
Cu: 0.000 0.000 0.324
Cu: 0.000 0.500 0.841
Cu: 0.000 0.500 0.159
Cu: 0.000 0.000 0.676
Cu: 0.500 0.000 0.500
Cu: 0.500 0.500 0.000
Cu: 0.500 0.246 0.242
Cu: 0.500 0.754 0.758
Cu: 0.500 0.754 0.242
Cu: 0.500 0.246 0.758